DFT (PBE-GGA) results for crystalline SrSbF2 at its relaxed geometry.

formation energy without anion corrections	-1.45	eV per atom
crystal system	trigonal
total magnetization	0.5	μB per formula unit
total DFT energy (no corrections)	-3.841	eV/atom

Cell lengths 8.900, 8.900, 8.900 Å; angles 22.98, 22.98, 22.98 degrees
Atoms (fractional coordinates):
Sr1 0.000 0.000 0.000
Sb1 0.500 0.500 0.500
F1 0.087 0.087 0.087
F2 0.913 0.913 0.913